Record 1
A plane-wave DFT calculation with PBE was carried out for an optimized crystal structure of K4N.

- Calculated total energy: -0.15294 Ry/atom
- Magnetic moment: 1.05 μB per formula unit
- Formation energy (no corrections): 0.46 eV per atom
- Calculated volume: 42.47 Å³/atom

Cell: 5.966 5.966 5.966 Å, 90.00 90.00 90.00°
Space group Pm-3m (No. 221)
Asymmetric unit:
1 K 0.000 0.000 0.000 x1
2 K 0.000 0.500 0.500 x3
3 N 0.500 0.500 0.500 x1



Record 2
A plane-wave DFT calculation with PBE was carried out for an optimized crystal structure of Tb2AlZn2Pd5.

- DFT formation energy: -7.3 eV per formula unit
- Calculated total energy: -0.35882 Ry/atom
- Magnetic moment: 0.00 μB per formula unit
- Calculated volume: 17.59 Å³/atom

Cell: 9.798 9.798 3.665 Å, 90.00 90.00 90.00°
Space group P4/mbm (No. 127)
Asymmetric unit:
1 Tb 0.175 0.325 0.000 x4
2 Al 0.000 0.000 0.000 x2
3 Zn 0.124 0.624 0.000 x4
4 Pd 0.000 0.500 0.500 x2
5 Pd 0.061 0.800 0.500 x8



Record 3
A plane-wave DFT calculation with PBE was carried out for an optimized crystal structure of HgAsPb.

- DFT formation energy: 0.3 eV per formula unit
- Calculated total energy: -0.20378 Ry/atom
- Excess energy over the best structure of this formula in the dataset: 64 meV per atom
- Magnetic moment: 0.00 μB per formula unit
- Calculated volume: 31.76 Å³/atom

Cell: 5.1246 5.1246 8.3777 Å, 90.00 90.00 120.00°
Space group P-3m1 (No. 164)
Asymmetric unit:
1 Hg 0.0000 0.0000 0.1699 x2
2 As 0.3333 0.6667 0.2762 x2
3 Pb 0.3333 0.6667 0.6293 x2



Record 4
A plane-wave DFT calculation with PBE was carried out for an optimized crystal structure of LiGa2Sn2Pd5.

- DFT formation energy: -4.2 eV per formula unit
- Calculated total energy: -0.33884 Ry/atom
- Magnetic moment: 0.00 μB per formula unit
- Calculated volume: 17.11 Å³/atom

Cell: 10.058 10.058 3.382 Å, 90.00 90.00 90.00°
Space group P4/mbm (No. 127)
Asymmetric unit:
1 Li 0.000 0.000 0.000 x2
2 Ga 0.140 0.360 0.000 x4
3 Sn 0.172 0.672 0.000 x4
4 Pd 0.000 0.500 0.500 x2
5 Pd 0.013 0.208 0.500 x8



Record 5
A plane-wave DFT calculation with PBE was carried out for an optimized crystal structure of Nd2MgH.

- Calculated total energy: -0.27647 Ry/atom
- Excess energy over the best structure of this formula in the dataset: 0 meV per atom
- Magnetic moment: 0.00 μB per formula unit
- Calculated volume: 24.56 Å³/atom

Cell: 3.6643 3.6643 25.3449 Å, 90.00 90.00 120.00°
Space group R-3m (No. 166, hexagonal axes)
Asymmetric unit:
1 Nd 0.0000 0.0000 0.2238 x6
2 Mg 0.0000 0.0000 0.0000 x3
3 H 0.0000 0.0000 0.5000 x3



Record 6
A plane-wave DFT calculation with PBE was carried out for an optimized crystal structure of KNaMg2Tl.

- DFT formation energy: 0.6 eV per formula unit
- Calculated total energy: -0.10855 Ry/atom
- Excess energy over the best structure of this formula in the dataset: 0 meV per atom
- Magnetic moment: 0.00 μB per formula unit
- Calculated volume: 37.69 Å³/atom

Cell: 5.584 5.584 6.045 Å, 90.00 90.00 90.00°
Space group P4/mmm (No. 123)
Asymmetric unit:
1 K 0.000 0.000 0.000 x1
2 Na 0.500 0.500 0.000 x1
3 Mg 0.000 0.500 0.500 x2
4 Tl 0.500 0.500 0.500 x1



Record 7
A plane-wave DFT calculation with PBE was carried out for an optimized crystal structure of MgCoPb.

- DFT formation energy: 0.9 eV per formula unit
- Calculated total energy: -0.28186 Ry/atom
- Excess energy over the best structure of this formula in the dataset: 112 meV per atom
- Magnetic moment: 0.11 μB per formula unit
- Calculated volume: 19.11 Å³/atom

Cell: 4.4994 4.4994 3.2701 Å, 90.00 90.00 120.00°
Space group P-6m2 (No. 187)
Asymmetric unit:
1 Mg 0.0000 0.0000 0.0000 x1
2 Co 0.3333 0.6667 0.5000 x1
3 Pb 0.6667 0.3333 0.5000 x1



Record 8
A plane-wave DFT calculation with PBE was carried out for an optimized crystal structure of La5Pr8Cd.

- DFT formation energy: 1.3 eV per formula unit
- Calculated total energy: -0.32803 Ry/atom
- Magnetic moment: 0.00 μB per formula unit
- Calculated volume: 36.46 Å³/atom

Cell: 15.893 8.728 8.781 Å, 90.00 123.05 90.00°
Space group C2 (No. 5)
Asymmetric unit:
1 La 0.000 0.000 0.000 x2
2 La 0.047 0.341 0.834 x4
3 La 0.100 0.679 0.238 x4
4 Pr 0.124 0.054 0.565 x4
5 Pr 0.164 0.455 0.624 x4
6 Pr 0.185 0.750 0.941 x4
7 Pr 0.195 0.272 0.312 x4
8 Cd 0.000 0.729 0.500 x2